(1)
A plane-wave DFT calculation with PBE was carried out for a relaxed Co2WCl crystal.

Cell: 8.7424 8.7424 8.7424 Å, 18.69 18.69 18.69°
Last column: nearest neighbours and their distance in Å.
Fractional positions:
W: 0.5024 0.5024 0.5024  3 Cl 2.51, 3 Co 2.66
Cl: 0.7618 0.7618 0.7618  3 W 2.51
Co: 0.9854 0.9854 0.9854  3 Co 2.41
Co: 0.2504 0.2504 0.2504  3 Co 2.41, 3 W 2.66

* ρ: 9.338 Mg/m³
* N(E_F): 1.01 states/eV per atom
* ΔE_f (raw): 0.44 eV/atom
* symmetry: R3m (160)
* offset from the most stable computed form: 0.66 eV per formula unit

(2)
A plane-wave DFT calculation with PBE was carried out for a relaxed Li4NdEr crystal.

Cell: 5.8787 5.8787 5.8787 Å, 60.00 60.00 60.00°
Last column: nearest neighbours and their distance in Å.
Fractional positions:
Er: 0.0000 0.0000 0.0000  12 Li 3.45, 4 Nd 3.60
Nd: 0.2500 0.2500 0.2500  12 Li 3.45, 4 Er 3.60
Li: 0.1237 0.6254 0.6254  6 Li 2.93-2.95
Li: 0.6254 0.1237 0.6254  6 Li 2.93-2.95
Li: 0.6254 0.6254 0.1237  6 Li 2.93-2.95
Li: 0.6254 0.6254 0.6254  6 Li 2.93-2.95

* ρ: 3.922 Mg/m³
* N(E_F): 1.05 states/eV per atom
* formation energy from the elements: 111 meV/atom
* symmetry: F-43m (216)

(3)
A plane-wave DFT calculation with PBE was carried out for a relaxed NaSrBi2O4 crystal.

Cell: 5.3513 5.3513 5.9871 Å, 113.51 113.51 96.17°
Last column: nearest neighbours and their distance in Å.
Fractional positions:
Bi: 0.1598 0.6598 0.5000  4 O 2.28-2.40
Bi: 0.6598 0.1598 0.5000  4 O 2.28-2.40
O: 0.7508 0.7508 0.4941  2 Bi 2.28, 1 Na 2.44, 1 Sr 2.51
O: 0.4115 0.9196 0.0000  2 Bi 2.40, 1 Sr 2.64, 2 Na 2.67-2.68
O: 0.2566 0.2566 0.5059  2 Bi 2.28, 1 Na 2.44, 1 Sr 2.51
O: 0.9196 0.4115 0.0000  2 Bi 2.40, 1 Sr 2.64, 2 Na 2.67-2.68
Na: 0.4218 0.4218 0.0000  6 O 2.44-2.68
Sr: 0.9174 0.9174 0.0000  6 O 2.51-2.71

* ρ: 7.196 Mg/m³
* N(E_F): 0.10 states/eV per atom
* ΔE_f (raw): -1.51 eV/atom
* symmetry: Fmm2 (42)

(4)
A plane-wave DFT calculation with PBE was carried out for a relaxed CaCd2TcSe crystal.

Cell: 5.8830 5.2239 5.8830 Å, 90.00 90.00 90.00°
Last column: nearest neighbours and their distance in Å.
Fractional positions:
Cd: 0.5000 0.0000 0.0000  2 Ca 2.94
Cd: 0.0000 0.0000 0.5000  2 Ca 2.94
Se: 0.0000 0.5000 0.0000  2 Ca 2.61
Tc: 0.5000 0.5000 0.5000  8 Cd 3.93, 4 Se 4.16
Ca: 0.0000 0.0000 0.0000  2 Se 2.61

* ρ: 4.058 Mg/m³
* N(E_F): 0.59 states/eV per atom
* ΔE_f (raw): 0.99 eV/atom
* symmetry: P4/mmm (123)

(5)
A plane-wave DFT calculation with PBE was carried out for a relaxed Hf4Re2Ru crystal.

Cell: 5.6095 5.6095 5.6095 Å, 109.53 109.44 109.44°
Last column: nearest neighbours and their distance in Å.
Fractional positions:
Hf: 0.5000 0.5000 0.5000  4 Re 2.80, 2 Ru 2.80
Hf: 0.0000 0.5000 0.0000  2 Ru 2.80, 4 Re 2.80
Hf: 0.0000 0.0000 0.5000  2 Ru 2.80, 4 Re 2.80
Hf: 0.5000 0.0000 0.0000  4 Re 2.80, 2 Ru 2.80
Ru: 0.0000 0.0000 0.0000  8 Hf 2.80
Re: 0.5000 0.5000 0.0000  8 Hf 2.80
Re: 0.5000 0.0000 0.5000  8 Hf 2.80

* ρ: 14.511 Mg/m³
* N(E_F): 0.79 states/eV per atom
* formation energy from the elements: -272 meV/atom
* symmetry: I4/mmm (139)

(6)
A plane-wave DFT calculation with PBE was carried out for a relaxed Nb2Cr3Si3 crystal.

Cell: 7.2761 7.2761 4.8445 Å, 90.00 90.00 121.52°
Last column: nearest neighbours and their distance in Å.
Fractional positions:
Cr: 0.6659 0.3361 0.2532  2 Cr 2.39-2.45, 6 Si 2.47-2.53
Cr: 0.3361 0.6659 0.2532  2 Cr 2.39-2.45, 6 Si 2.47-2.53
Cr: 0.2507 0.9968 0.5000  5 Si 2.47-2.67
Cr: 0.9968 0.2507 0.5000  5 Si 2.47-2.67
Cr: 0.6659 0.3361 0.7468  2 Cr 2.39-2.45, 6 Si 2.47-2.53
Cr: 0.3361 0.6659 0.7468  2 Cr 2.39-2.45, 6 Si 2.47-2.53
Si: 0.4065 0.0005 0.0000  6 Cr 2.49-2.67, 3 Nb 2.53-2.58, 2 Si 2.77
Si: 0.3949 0.3949 0.5000  6 Cr 2.51-2.53, 3 Nb 2.73-2.75, 2 Si 2.78
Si: 0.0005 0.4065 0.0000  6 Cr 2.49-2.67, 3 Nb 2.53-2.58, 2 Si 2.77
Si: 0.0082 0.5958 0.5000  6 Cr 2.47-2.51, 3 Nb 2.62-2.70
Si: 0.5873 0.5873 0.0000  4 Cr 2.50, 5 Nb 2.58-2.79, 2 Si 2.78
Si: 0.5958 0.0082 0.5000  6 Cr 2.47-2.51, 3 Nb 2.62-2.70
Nb: 0.2190 0.2190 0.0000  5 Si 2.58-2.73, 2 Nb 2.88
Nb: 0.0001 0.7548 0.0000  5 Si 2.53-2.70
Nb: 0.7811 0.7811 0.5000  5 Si 2.62-2.79, 2 Cr 2.92
Nb: 0.7548 0.0001 0.0000  5 Si 2.53-2.70

* ρ: 6.472 Mg/m³
* N(E_F): 0.84 states/eV per atom
* ΔE_f (raw): -0.42 eV/atom
* symmetry: Amm2 (38)

(7)
A plane-wave DFT calculation with PBE was carried out for a relaxed Pm3Er2Tm3 crystal.

Cell: 5.6714 5.9833 8.6923 Å, 111.51 109.04 90.00°
Last column: nearest neighbours and their distance in Å.
Fractional positions:
Tm: 0.8675 0.3158 0.7350  1 Tm 3.39, 4 Er 3.43-3.53, 5 Pm 3.48-3.65
Tm: 0.1325 0.6842 0.2650  1 Tm 3.39, 4 Er 3.43-3.53, 5 Pm 3.48-3.65
Tm: 0.0000 0.0000 0.0000  2 Tm 3.39, 4 Pm 3.52
Er: 0.2504 0.3188 0.5008  4 Pm 3.40-3.52, 5 Tm 3.43-3.81, 2 Er 3.57
Er: 0.7496 0.6812 0.4992  4 Pm 3.40-3.52, 5 Tm 3.43-3.81, 2 Er 3.57
Pm: 0.3653 0.9302 0.7306  1 Pm 3.27, 4 Er 3.40-3.52, 5 Tm 3.52-3.65
Pm: 0.6347 0.0698 0.2694  1 Pm 3.27, 4 Er 3.40-3.52, 5 Tm 3.52-3.65
Pm: 0.5000 0.5000 0.0000  2 Pm 3.27, 4 Tm 3.48

* ρ: 8.247 Mg/m³
* N(E_F): 1.71 states/eV per atom
* formation energy from the elements: 90 meV/atom
* symmetry: C2/m (12)
* offset from the most stable computed form: 0.00 eV per formula unit

(8)
A plane-wave DFT calculation with PBE was carried out for a relaxed Ac4HIr2Pt crystal.

Cell: 4.3423 7.4496 7.4254 Å, 109.35 90.00 90.00°
Last column: nearest neighbours and their distance in Å.
Fractional positions:
Ir: 0.5000 0.0000 0.5000  6 Ac 3.00-3.01
Ir: 0.0000 0.5000 0.5000  6 Ac 2.99-3.02
Pt: 0.0000 0.0000 0.0000  6 Ac 3.08-3.10
Ac: 0.0000 0.2443 0.7369  3 Ir 2.99-3.00, 1 Pt 3.08, 2 H 3.11
Ac: 0.5000 0.7456 0.7411  3 Ir 3.01-3.02, 1 H 3.06, 2 Pt 3.10
Ac: 0.5000 0.2544 0.2589  3 Ir 3.01-3.02, 1 H 3.06, 2 Pt 3.10
Ac: 0.0000 0.7557 0.2631  3 Ir 2.99-3.00, 1 Pt 3.08, 2 H 3.11
H: 0.5000 0.5000 0.0000  6 Ac 3.06-3.11

* ρ: 10.906 Mg/m³
* N(E_F): 0.58 states/eV per atom
* VASP energy: -6.151 eV/atom
* symmetry: P2/m (10)

Which value of ρ does entry 3 give? 7.196 Mg/m³

Please write out number 3 again, unchanged.
A plane-wave DFT calculation with PBE was carried out for a relaxed NaSrBi2O4 crystal.

Cell: 5.3513 5.3513 5.9871 Å, 113.51 113.51 96.17°
Last column: nearest neighbours and their distance in Å.
Fractional positions:
Bi: 0.1598 0.6598 0.5000  4 O 2.28-2.40
Bi: 0.6598 0.1598 0.5000  4 O 2.28-2.40
O: 0.7508 0.7508 0.4941  2 Bi 2.28, 1 Na 2.44, 1 Sr 2.51
O: 0.4115 0.9196 0.0000  2 Bi 2.40, 1 Sr 2.64, 2 Na 2.67-2.68
O: 0.2566 0.2566 0.5059  2 Bi 2.28, 1 Na 2.44, 1 Sr 2.51
O: 0.9196 0.4115 0.0000  2 Bi 2.40, 1 Sr 2.64, 2 Na 2.67-2.68
Na: 0.4218 0.4218 0.0000  6 O 2.44-2.68
Sr: 0.9174 0.9174 0.0000  6 O 2.51-2.71

* ρ: 7.196 Mg/m³
* N(E_F): 0.10 states/eV per atom
* ΔE_f (raw): -1.51 eV/atom
* symmetry: Fmm2 (42)